Entry 1:
Entry from the Alexandria database: crystalline K2BaI4 at its relaxed geometry (GGA-PBE).

## Properties
* formation energy without anion corrections: -1483 meV per atom
* energy above the lowest structure with this stoichiometry: 96 meV/atom
* D(E_F): 0.0000 states/eV/atom

a b c (Å): 6.733 6.733 18.346
angles (deg): 90.00 90.00 90.00
Space group I4/mmm (No. 139)
One atom of each set of equivalent atoms:
K 0.000 0.000 0.134 (multiplicity 4)
Ba 0.000 0.000 0.500 (multiplicity 2)
I 0.000 0.000 0.317 (multiplicity 4)
I 0.000 0.500 0.000 (multiplicity 4)


Entry 2:
Entry from the Alexandria database: crystalline KBaI at its relaxed geometry (GGA-PBE).

## Properties
* formation energy without anion corrections: -841 meV per atom
* energy above the lowest structure with this stoichiometry: 35 meV/atom
* D(E_F): 0.7167 states/eV/atom

a b c (Å): 4.6646 4.6646 8.7439
angles (deg): 90.00 90.00 120.00
Space group P3m1 (No. 156)
One atom of each set of equivalent atoms:
K 0.0000 0.0000 0.0000 (multiplicity 1)
Ba 0.3333 0.6667 0.5620 (multiplicity 1)
I 0.6667 0.3333 0.2806 (multiplicity 1)